Below is a geometry-optimized Ir3Ru2 structure, with properties calculated at the PBE level.

## Properties
Space-group type: R-3m, No. 166
Fermi-level density of states, states/eV/f.u.: 10.2
Energy above the lowest structure with this stoichiometry, eV/atom: 1.093
Energy of formation, eV per atom: 1.070

Geometry as extended XYZ:
```
5
Lattice="-2.5298 -6.3626 2.9884 1.0869 -6.4472 3.6145 -1.1164 -4.5273 5.8369" Properties=species:S:1:pos:R:3 pbc="T T T"
Ru -1.5308 -10.3703 7.4410
Ru -1.0284 -6.9668 4.9989
Ir 0.0000 0.0000 0.0000
Ir -2.0357 -13.7903 9.8949
Ir -0.5236 -3.5468 2.5449
```